Computed, not measured: a geometry-optimized KSmHf2O6 structure at the GGA-PBE level of DFT.

It has space group Fm-3m (No. 225), with a = 8.227 Å, b = 8.227 Å, c = 8.227 Å, α = 90.00°, β = 90.00° and γ = 90.00°. The distinct sites, in fractional coordinates, are K at (0.000, 0.000, 0.000), Sm at (0.000, 0.000, 0.500), Hf at (0.250, 0.250, 0.250) and O at (0.000, 0.250, 0.250).

Its density of states at the Fermi level is 0.00 states/eV per cell. The calculation puts the formation energy without anion corrections at -3.102 eV per atom. The total energy comes out at -86.5 eV/f.u.

---

Computed, not measured: a geometry-optimized SrZrTl2 structure at the GGA-PBE level of DFT.

It has space group Cm (No. 8), with a = 12.100 Å, b = 3.452 Å, c = 5.652 Å, α = 90.00°, β = 107.53° and γ = 90.00°. The distinct sites, in fractional coordinates, are Sr at (0.000, 0.000, 0.000), Zr at (0.230, 0.000, 0.596), Tl at (0.250, 0.500, 0.112) and Tl at (0.478, 0.000, 0.501).

Its density of states at the Fermi level is 7.83 states/eV per cell. The total energy comes out at -14.8 eV/f.u.

---

Computed, not measured: a geometry-optimized Tb6Sm2Ho3 structure at the GGA-PBE level of DFT.

It has space group I4/mmm (No. 139), with a = 4.730 Å, b = 4.730 Å, c = 33.251 Å, α = 90.00°, β = 90.00° and γ = 90.00°. The distinct sites, in fractional coordinates, are Tb at (0.000, 0.000, 0.197), Tb at (0.000, 0.500, 0.122), Sm at (0.000, 0.000, 0.046), Ho at (0.000, 0.000, 0.300) and Ho at (0.000, 0.000, 0.500).

Its density of states at the Fermi level is 30.81 states/eV per cell. The value obtained for the energy above the most stable polymorph in this dataset is 262 meV per atom. The total energy comes out at -47.9 eV/f.u.

---

Computed, not measured: a geometry-optimized Ho2ZrCd6 structure at the GGA-PBE level of DFT.

It has space group P6/mmm (No. 191), with a = 8.5545 Å, b = 8.5545 Å, c = 3.2991 Å, α = 90.00°, β = 90.00° and γ = 120.00°. The distinct sites, in fractional coordinates, are Ho at (0.3333, 0.6667, 0.0000), Zr at (0.0000, 0.0000, 0.0000) and Cd at (0.0000, 0.3297, 0.5000).

Its density of states at the Fermi level is 6.82 states/eV per cell. The total energy comes out at -25.2 eV/f.u.